Record 1
Density functional theory data (PBEsol) for a geometry-optimized RbP2SeCl structure.

Lattice parameters (Å, degrees): 4.648 4.648 6.878 90.00 90.00 90.00
Space group P4/mmm (No. 123)
Unique sites:
Rb: 0.000 0.000 0.000 x1
P: 0.000 0.500 0.500 x2
Se: 0.500 0.500 0.500 x1
Cl: 0.500 0.500 0.000 x1

Calculated values
energy relative to the elements, uncorrected = 3.16 kcal/mol of atoms
theoretical density = 2.9 g cm⁻³

Record 2
Density functional theory data (PBEsol) for a geometry-optimized Li2AlTlSb structure.

Lattice parameters (Å, degrees): 5.024 5.024 5.084 90.00 90.00 90.00
Space group P4/mmm (No. 123)
Unique sites:
Li: 0.000 0.500 0.000 x2
Al: 0.000 0.000 0.000 x1
Tl: 0.000 0.000 0.500 x1
Sb: 0.500 0.500 0.500 x1

Calculated values
energy relative to the elements, uncorrected = 8.33 kcal/mol of atoms
theoretical density = 4.7 g cm⁻³

Record 3
Density functional theory data (PBEsol) for a geometry-optimized K6CuSi2O8 structure.

Lattice parameters (Å, degrees): 6.175 6.657 7.483 83.11 87.59 69.69
Space group P-1 (No. 2)
Unique sites:
K: 0.151 0.329 0.166 x2
K: 0.226 0.687 0.440 x2
K: 0.301 0.804 0.974 x2
Cu: 0.500 0.000 0.500 x1
Si: 0.280 0.261 0.732 x2
O: 0.061 0.225 0.844 x2
O: 0.243 0.271 0.509 x2
O: 0.331 0.471 0.786 x2
O: 0.480 0.959 0.246 x2

Calculated values
energy relative to the elements, uncorrected = -46.25 kcal/mol of atoms
theoretical density = 2.8 g cm⁻³

Record 4
Density functional theory data (PBEsol) for a geometry-optimized SrGa3I structure.

Lattice parameters (Å, degrees): 5.672 5.672 5.672 90.00 90.00 90.00
Space group Pm-3m (No. 221)
Unique sites:
Sr: 0.000 0.000 0.000 x1
Ga: 0.000 0.500 0.500 x3
I: 0.500 0.500 0.500 x1

Calculated values
energy relative to the elements, uncorrected = 8.01 kcal/mol of atoms
theoretical density = 3.9 g cm⁻³

Record 5
Density functional theory data (PBEsol) for a geometry-optimized CuSi2Ni structure.

Lattice parameters (Å, degrees): 2.725 4.327 4.422 90.00 106.74 90.00
Space group Pm (No. 6)
Unique sites:
Cu: 0.000 0.000 0.000 x1
Si: 0.141 0.500 0.260 x1
Si: 0.291 0.000 0.554 x1
Ni: 0.431 0.500 0.816 x1

Calculated values
energy relative to the elements, uncorrected = -4.54 kcal/mol of atoms
theoretical density = 5.9 g cm⁻³

Record 6
Density functional theory data (PBEsol) for a geometry-optimized K2BaTlPb structure.

Lattice parameters (Å, degrees): 6.620 6.620 6.545 90.00 90.00 90.00
Space group P4/mmm (No. 123)
Unique sites:
K: 0.000 0.500 0.000 x2
Ba: 0.000 0.000 0.500 x1
Tl: 0.500 0.500 0.500 x1
Pb: 0.000 0.000 0.000 x1

Calculated values
energy of formation from the pure elements = 0.94 eV/f.u.
theoretical density = 3.6 g cm⁻³

Record 7
Density functional theory data (PBEsol) for a geometry-optimized Zr2CdAg structure.

Lattice parameters (Å, degrees): 3.446 3.446 6.773 90.00 90.00 90.00
Space group P4mm (No. 99)
Unique sites:
Zr: 0.000 0.000 0.000 x1
Zr: 0.500 0.500 0.276 x1
Cd: 0.500 0.500 0.741 x1
Ag: 0.000 0.000 0.518 x1

Calculated values
energy of formation from the pure elements = -0.43 eV/f.u.
theoretical density = 8.3 g cm⁻³

Record 8
Density functional theory data (PBEsol) for a geometry-optimized MgCrCu structure.

Lattice parameters (Å, degrees): 2.6432 2.6432 6.6495 90.00 90.00 120.00
Space group P3m1 (No. 156)
Unique sites:
Mg: 0.0000 0.0000 0.0000 x1
Cr: 0.3333 0.6667 0.6483 x1
Cu: 0.6667 0.3333 0.3403 x1

Calculated values
energy of formation from the pure elements = 1.51 eV/f.u.
theoretical density = 5.8 g cm⁻³

Record 9
Density functional theory data (PBEsol) for a geometry-optimized Re2SbBr structure.

Lattice parameters (Å, degrees): 3.034 3.063 17.234 90.00 90.00 90.00
Space group Amm2 (No. 38)
Unique sites:
Re: 0.000 0.000 0.000 x2
Re: 0.500 0.000 0.413 x2
Sb: 0.000 0.000 0.801 x2
Br: 0.500 0.000 0.118 x2

Calculated values
energy relative to the elements, uncorrected = 5.15 kcal/mol of atoms
theoretical density = 11.9 g cm⁻³

Record 10
Density functional theory data (PBEsol) for a geometry-optimized SrLi4La structure.

Lattice parameters (Å, degrees): 8.740 8.740 8.740 90.00 90.00 90.00
Space group F-43m (No. 216)
Unique sites:
Sr: 0.000 0.000 0.000 x4
Li: 0.125 0.125 0.375 x16
La: 0.250 0.250 0.750 x4

Calculated values
energy of formation from the pure elements = 0.64 eV/f.u.
theoretical density = 2.5 g cm⁻³

Record 11
Density functional theory data (PBEsol) for a geometry-optimized Fe5CuP6O24 structure.

Lattice parameters (Å, degrees): 8.5778 8.5778 19.9416 90.00 90.00 120.00
Space group R3 (No. 146, hexagonal axes)
Unique sites:
Fe: 0.0000 0.0000 0.0000 x3
Fe: 0.0000 0.0000 0.1454 x3
Fe: 0.0000 0.0000 0.2925 x3
Fe: 0.0000 0.0000 0.6454 x3
Fe: 0.0000 0.0000 0.7913 x3
Cu: 0.0000 0.0000 0.5012 x3
P: 0.9999 0.7022 0.8955 x9
P: 0.0371 0.3698 0.0640 x9
O: 0.0042 0.2057 0.4617 x9
O: 0.0050 0.1739 0.0736 x9
O: 0.0136 0.8336 0.5759 x9
O: 0.0153 0.8127 0.9579 x9
O: 0.1434 0.6805 0.4995 x9
O: 0.1471 0.4643 0.0016 x9
O: 0.1661 0.6775 0.8835 x9
O: 0.1678 0.4861 0.3835 x9

Calculated values
energy relative to the elements, uncorrected = -38.73 kcal/mol of atoms
theoretical density = 3.6 g cm⁻³

Record 12
Density functional theory data (PBEsol) for a geometry-optimized CdW3O structure.

Lattice parameters (Å, degrees): 4.144 4.144 4.144 90.00 90.00 90.00
Space group Pm-3m (No. 221)
Unique sites:
Cd: 0.000 0.000 0.000 x1
W: 0.000 0.500 0.500 x3
O: 0.500 0.500 0.500 x1

Calculated values
energy relative to the elements, uncorrected = 5.53 kcal/mol of atoms
theoretical density = 15.9 g cm⁻³

Record 13
Density functional theory data (PBEsol) for a geometry-optimized TlCr2Cd structure.

Lattice parameters (Å, degrees): 6.732 6.732 6.732 90.00 90.00 90.00
Space group F-43m (No. 216)
Unique sites:
Tl: 0.000 0.000 0.000 x4
Cr: 0.000 0.000 0.500 x4
Cr: 0.250 0.250 0.750 x4
Cd: 0.250 0.250 0.250 x4

Calculated values
energy of formation from the pure elements = 3.30 eV/f.u.
theoretical density = 9.2 g cm⁻³